[1]
Material: Cd2Ge2Bi
Method: DFT, GGA-PBE
State: optimized geometry

abc: 8.564 8.564 3.263
angles: 90.00 90.00 90.00
Space group P4/mbm (No. 127)
Inequivalent atoms, fractional coordinates:
Cd 0.172 0.328 0.000 [4 per cell]
Ge 0.119 0.619 0.500 [4 per cell]
Bi 0.000 0.000 0.000 [2 per cell]

Values from the calculation:
Total energy   -2.77 eV per atom
Size of the total moment   0.00 μB per cell
E above lowest polymorph   24 meV/atom

[2]
Material: CdGeBi2
Method: DFT, GGA-PBE
State: optimized geometry

abc: 3.3697 3.3697 34.7788
angles: 90.00 90.00 120.00
Space group R-3m (No. 166, hexagonal axes)
Inequivalent atoms, fractional coordinates:
Cd 0.0000 0.0000 0.0000 [3 per cell]
Ge 0.0000 0.0000 0.5000 [3 per cell]
Bi 0.0000 0.0000 0.0900 [6 per cell]

Values from the calculation:
Total energy   -3.09 eV per atom
Size of the total moment   0.00 μB per cell